# 1
! Mg5AgPb2, relaxed, DFT GGA-PBE; values from VASP
&SYSTEM
  ibrav = 0, nat = 8, ntyp = 3
/
ATOMIC_SPECIES
Mg 24.30 Mg.upf
Ag 107.87 Ag.upf
Pb 207.20 Pb.upf
ATOMIC_POSITIONS angstrom
Mg 0.000 0.000 0.000
Mg 1.865 1.865 2.466
Mg 1.865 4.829 2.466
Mg 4.829 1.865 2.466
Mg 4.829 4.829 2.466
Ag 0.000 0.000 2.466
Pb 0.000 3.347 0.000
Pb 3.347 0.000 0.000
CELL_PARAMETERS angstrom
6.694 0.000 0.000
0.000 6.694 0.000
0.000 0.000 4.932
! spin magnetization = 0.000 μB per formula unit
! DOS at the Fermi energy = 0.49 states/eV/atom
! E_form = 0.142 eV per atom
! V = 221.0 Å³/cell

=====

# 2
! Cd4Ag3Au, relaxed, DFT GGA-PBE; values from VASP
&SYSTEM
  ibrav = 0, nat = 8, ntyp = 3
/
ATOMIC_SPECIES
Cd 112.41 Cd.upf
Ag 107.87 Ag.upf
Au 196.97 Au.upf
ATOMIC_POSITIONS angstrom
Cd 1.896 0.000 0.535
Cd 5.724 0.000 1.606
Cd 9.520 0.000 2.675
Cd 13.347 0.000 3.746
Ag -0.577 0.000 2.141
Ag 3.208 0.000 3.203
Ag 12.035 0.000 1.078
Au 8.198 0.000 0.000
CELL_PARAMETERS angstrom
8.198 -2.213 0.000
8.198 2.213 0.000
-1.154 0.000 4.281
! spin magnetization = 0.000 μB per formula unit
! DOS at the Fermi energy = 0.27 states/eV/atom
! excess energy over the best structure of this formula in the dataset = 0.004 eV per atom
! E_form = -0.083 eV per atom
! V = 155.3 Å³/cell

=====

# 3
! LaGaRh3, relaxed, DFT GGA-PBE; values from VASP
&SYSTEM
  ibrav = 0, nat = 10, ntyp = 3
/
ATOMIC_SPECIES
La 138.91 La.upf
Ga 69.72 Ga.upf
Rh 102.91 Rh.upf
ATOMIC_POSITIONS angstrom
La 3.294 5.322 3.616
La 3.294 -5.322 1.205
Ga 3.294 2.259 3.616
Ga 3.294 -2.259 1.205
Rh 2.002 2.506 1.205
Rh 2.002 -2.506 3.616
Rh 3.294 0.000 0.000
Rh 3.294 0.000 2.411
Rh 4.586 2.506 1.205
Rh 4.586 -2.506 3.616
CELL_PARAMETERS angstrom
3.294 -6.446 0.000
3.294 6.446 0.000
0.000 0.000 4.822
! spin magnetization = 0.001 μB per formula unit
! DOS at the Fermi energy = 1.08 states/eV/atom
! excess energy over the best structure of this formula in the dataset = 0.148 eV per atom
! E_form = -0.148 eV per atom
! V = 204.8 Å³/cell

=====

# 4
! LiZn4Re, relaxed, DFT GGA-PBE; values from VASP
&SYSTEM
  ibrav = 0, nat = 6, ntyp = 3
/
ATOMIC_SPECIES
Li 6.94 Li.upf
Zn 65.41 Zn.upf
Re 186.21 Re.upf
ATOMIC_POSITIONS angstrom
Li 0.000 0.000 0.000
Zn 2.634 2.634 2.634
Zn 4.377 4.377 2.634
Zn 4.377 2.634 4.377
Zn 2.634 4.377 4.377
Re 5.259 5.259 5.259
CELL_PARAMETERS angstrom
0.000 3.506 3.506
3.506 0.000 3.506
3.506 3.506 0.000
! spin magnetization = 0.000 μB per formula unit
! DOS at the Fermi energy = 0.75 states/eV/atom
! E_form = 0.256 eV per atom
! V = 86.2 Å³/cell

=====

# 5
! BaSrSb2Se, relaxed, DFT GGA-PBE; values from VASP
&SYSTEM
  ibrav = 0, nat = 5, ntyp = 4
/
ATOMIC_SPECIES
Ba 137.33 Ba.upf
Sr 87.62 Sr.upf
Sb 121.76 Sb.upf
Se 78.96 Se.upf
ATOMIC_POSITIONS angstrom
Ba 0.000 0.000 0.000
Sr 2.945 2.945 0.000
Sb 0.000 2.945 2.743
Sb 2.945 0.000 2.743
Se 2.945 2.945 2.743
CELL_PARAMETERS angstrom
5.890 0.000 0.000
0.000 5.890 0.000
0.000 0.000 5.487
! spin magnetization = 0.000 μB per formula unit
! DOS at the Fermi energy = 0.65 states/eV/atom
! E_form (uncorrected) = -0.523 eV per atom
! V = 190.3 Å³/cell

=====

# 6
! TaTiSeBr2, relaxed, DFT GGA-PBE; values from VASP
&SYSTEM
  ibrav = 0, nat = 5, ntyp = 4
/
ATOMIC_SPECIES
Ta 180.95 Ta.upf
Ti 47.87 Ti.upf
Se 78.96 Se.upf
Br 79.90 Br.upf
ATOMIC_POSITIONS angstrom
Ta 0.000 0.000 0.000
Ti 2.495 2.495 2.574
Se 2.495 2.495 0.000
Br 0.000 2.495 2.574
Br 2.495 0.000 2.574
CELL_PARAMETERS angstrom
4.989 0.000 0.000
0.000 4.989 0.000
0.000 0.000 5.147
! spin magnetization = 4.949 μB per formula unit
! DOS at the Fermi energy = 1.41 states/eV/atom
! excess energy over the best structure of this formula in the dataset = 0.141 eV per atom
! E_form (uncorrected) = 0.472 eV per atom
! V = 128.1 Å³/cell